Here is an optimized crystal structure of MgAl8Ni4 from the Alexandria database. Energies are from GGA-PBE.

Computed properties:
* VASP energy: -4.649 eV/atom
* ΔH_f (0 K): -0.4443 eV/atom

Structure (CIF):
```
data_MgAl8Ni4
_symmetry_space_group_name_H-M 'I 4/m m m'
_symmetry_Int_Tables_number 139
_symmetry_space_group_name_Hall '-I 4 2'
_cell_length_a 8.508
_cell_length_b 8.508
_cell_length_c 5.099
_cell_angle_alpha 90.00
_cell_angle_beta 90.00
_cell_angle_gamma 90.00
loop_
_atom_site_label
_atom_site_type_symbol
_atom_site_fract_x
_atom_site_fract_y
_atom_site_fract_z
_atom_site_occupancy
Mg1 Mg 0.000 0.000 0.000 1
Al1 Al 0.000 0.222 0.500 1
Al2 Al 0.000 0.341 0.000 1
Ni1 Ni 0.250 0.250 0.250 1
```

---

Here is an optimized crystal structure of Tm5Sc4In2 from the Alexandria database. Energies are from GGA-PBE.

Computed properties:
* VASP energy: -4.747 eV/atom
* ΔH_f (0 K): 0.0858 eV/atom

Structure (CIF):
```
data_Tm5Sc4In2
_symmetry_space_group_name_H-M 'I m m m'
_symmetry_Int_Tables_number 71
_symmetry_space_group_name_Hall '-I 2 2'
_cell_length_a 3.315
_cell_length_b 8.568
_cell_length_c 21.651
_cell_angle_alpha 90.00
_cell_angle_beta 90.00
_cell_angle_gamma 90.00
loop_
_atom_site_label
_atom_site_type_symbol
_atom_site_fract_x
_atom_site_fract_y
_atom_site_fract_z
_atom_site_occupancy
Tm1 Tm 0.000 0.000 0.000 1
Tm2 Tm 0.000 0.297 0.357 1
Sc1 Sc 0.000 0.177 0.500 1
Sc2 Sc 0.000 0.500 0.232 1
In1 In 0.000 0.500 0.098 1
```

---

Here is an optimized crystal structure of Rb3NbTe from the Alexandria database. Energies are from GGA-PBE.

Computed properties:
* VASP energy: -2.386 eV/atom

Structure (CIF):
```
data_Rb3NbTe
_symmetry_space_group_name_H-M 'P m -3 m'
_symmetry_Int_Tables_number 221
_symmetry_space_group_name_Hall '-P 4 2 3'
_cell_length_a 6.534
_cell_length_b 6.534
_cell_length_c 6.534
_cell_angle_alpha 90.00
_cell_angle_beta 90.00
_cell_angle_gamma 90.00
loop_
_atom_site_label
_atom_site_type_symbol
_atom_site_fract_x
_atom_site_fract_y
_atom_site_fract_z
_atom_site_occupancy
Rb1 Rb 0.000 0.000 0.500 1
Nb1 Nb 0.000 0.000 0.000 1
Te1 Te 0.500 0.500 0.500 1
```